A geometry-optimized Tl3CrNi2F9 structure. Source: Alexandria via LeMat-Bulk, functional PBE with a Hubbard U.

Its calculated volume is 221.3 Å³/cell. As for the uncorrected energy: -4.361 eV per atom.

The structure belongs to space group P-3m1 (No. 164); the cell edges are 5.9254, 5.9254 and 7.2778 Å and the angles 90.00°, 90.00° and 120.00°. The asymmetric unit holds Tl at (0.0000, 0.0000, 0.0000), Tl at (0.3333, 0.6667, 0.6704), Cr at (0.0000, 0.0000, 0.5000), Ni at (0.3333, 0.6667, 0.1636), F at (0.0000, 0.5000, 0.0000) and F at (0.1704, 0.3408, 0.3275).